# 1
# TmPaCdIn

A geometry-optimized TmPaCdIn structure (PBE-GGA, the Alexandria database).

a b c (Å): 7.4648 7.4648 7.4648
angles (deg): 90.00 90.00 90.00
Closest atoms and distances in Å follow each position.
Space group F-43m (No. 216)
Symmetry-distinct sites (fractional):
Tm (0.0000, 0.0000, 0.0000) (multiplicity 4)  4 Cd 3.23, 4 In 3.23
Pa (0.0000, 0.0000, 0.5000) (multiplicity 4)  4 Cd 3.23, 4 In 3.23
Cd (0.2500, 0.2500, 0.2500) (multiplicity 4)  4 Pa 3.23, 4 Tm 3.23
In (0.2500, 0.2500, 0.7500) (multiplicity 4)  4 Pa 3.23, 4 Tm 3.23

Values from the calculation:
size of the total moment	1.06	μB/f.u.
density of states at the Fermi level	1.67	states/eV per atom
density	10.0	Mg/m³
formation enthalpy at 0 K	0.00	eV/atom

=====

# 2
# CdInPb2

A geometry-optimized CdInPb2 structure (PBE-GGA, the Alexandria database).

a b c (Å): 4.4934 4.9841 5.1319
angles (deg): 90.00 90.00 90.00
Closest atoms and distances in Å follow each position.
Space group Pmmm (No. 47)
Symmetry-distinct sites (fractional):
Cd (0.0000, 0.0000, 0.0000) (multiplicity 1)  8 Pb 3.36-3.58, 4 In 3.41
In (0.5000, 0.0000, 0.5000) (multiplicity 1)  8 Pb 3.36-3.58, 4 Cd 3.41
Pb (0.0000, 0.5000, 0.5000) (multiplicity 1)  4 In 3.36, 4 Pb 3.41, 4 Cd 3.58
Pb (0.5000, 0.5000, 0.0000) (multiplicity 1)  4 Cd 3.36, 4 Pb 3.41, 4 In 3.58

Values from the calculation:
size of the total moment	0.00	μB/f.u.
density of states at the Fermi level	0.38	states/eV per atom
density	9.3	Mg/m³
formation enthalpy at 0 K	0.04	eV/atom

=====

# 3
# CdIn3Pb3

A geometry-optimized CdIn3Pb3 structure (PBE-GGA, the Alexandria database).

a b c (Å): 8.3960 8.3960 8.3960
angles (deg): 90.00 90.00 90.00
Closest atoms and distances in Å follow each position.
Space group Pm-3n (No. 223)
Symmetry-distinct sites (fractional):
Cd (0.0000, 0.0000, 0.0000) (multiplicity 2)  12 In 4.69, 12 Pb 4.69
In (0.0000, 0.2500, 0.5000) (multiplicity 6)  4 Pb 2.97
Pb (0.0000, 0.5000, 0.2500) (multiplicity 6)  4 In 2.97

Values from the calculation:
size of the total moment	0.00	μB/f.u.
density of states at the Fermi level	1.32	states/eV per atom
density	6.1	Mg/m³
formation enthalpy at 0 K	0.40	eV/atom